# BaSm2Te4

Crystalline BaSm2Te4 at its relaxed geometry (PBE, Alexandria).

Unit cell a=4.562 b=7.763 c=15.564 alpha=90.00 beta=90.00 gamma=107.09
Fractional coordinates of all 14 atoms:
Te1 0.231 0.461 0.615
Te2 0.769 0.539 0.385
Te3 0.938 0.875 0.750
Te4 0.769 0.539 0.115
Te5 0.500 0.000 0.500
Te6 0.231 0.461 0.885
Te7 0.500 0.000 0.000
Te8 0.062 0.125 0.250
Sm1 0.135 0.269 0.434
Sm2 0.865 0.731 0.566
Sm3 0.865 0.731 0.934
Sm4 0.135 0.269 0.066
Ba1 0.390 0.780 0.250
Ba2 0.610 0.220 0.750

## Properties
As for the energy above the lowest structure with this stoichiometry: 19.1 meV per atom. The value obtained for the volume is 526.9 Å³ per cell.

=====

# BeHg2Sb

Crystalline BeHg2Sb at its relaxed geometry (PBE, Alexandria).

Unit cell a=5.583 b=4.039 c=4.039 alpha=90.00 beta=90.00 gamma=90.00
Fractional coordinates of all 4 atoms:
Hg1 0.000 0.000 0.000
Hg2 0.000 0.500 0.500
Sb1 0.500 0.500 0.000
Be1 0.500 0.000 0.500

## Properties
As for the energy above the lowest structure with this stoichiometry: 332.0 meV per atom. The value obtained for the volume is 91.1 Å³ per cell.

=====

# Dy2Sc3Ni2

Crystalline Dy2Sc3Ni2 at its relaxed geometry (PBE, Alexandria).

Unit cell a=4.509 b=5.802 c=7.042 alpha=113.02 beta=90.00 gamma=112.87
Fractional coordinates of all 7 atoms:
Ni1 0.871 0.743 0.791
Ni2 0.129 0.257 0.209
Sc1 0.500 0.000 0.000
Sc2 0.357 0.715 0.537
Sc3 0.643 0.285 0.463
Dy1 0.860 0.719 0.194
Dy2 0.140 0.281 0.806

## Properties
As for the energy above the lowest structure with this stoichiometry: 46.9 meV per atom. For the formation energy, the calculation gives -0.227 eV/atom. The value obtained for the volume is 153.7 Å³ per cell.

=====

# BaReAs3

Crystalline BaReAs3 at its relaxed geometry (PBE, Alexandria).

Unit cell a=4.982 b=4.982 c=4.982 alpha=90.00 beta=90.00 gamma=90.00
Fractional coordinates of all 5 atoms:
Ba1 0.500 0.500 0.500
As1 0.000 0.500 0.000
As2 0.500 0.000 0.000
As3 0.000 0.000 0.500
Re1 0.000 0.000 0.000

## Properties
As for the energy above the lowest structure with this stoichiometry: 0.0 meV per atom. For the formation energy, the calculation gives -0.088 eV/atom. The value obtained for the volume is 123.6 Å³ per cell.

=====

# Tb2Y3Ho9

Crystalline Tb2Y3Ho9 at its relaxed geometry (PBE, Alexandria).

Unit cell a=5.396 b=14.862 c=10.528 alpha=45.25 beta=51.18 gamma=54.90
Fractional coordinates of all 14 atoms:
Tb1 0.501 0.759 0.261
Tb2 0.499 0.241 0.739
Ho1 0.722 0.862 0.507
Ho2 0.999 0.500 0.500
Ho3 0.827 0.936 0.756
Ho4 0.047 0.512 0.770
Ho5 0.410 0.702 0.997
Ho6 0.278 0.138 0.493
Ho7 0.590 0.298 0.004
Ho8 0.173 0.064 0.244
Ho9 0.953 0.488 0.230
Y1 0.699 0.334 0.260
Y2 0.301 0.667 0.740
Y3 0.000 0.000 0.000

## Properties
For the formation energy, the calculation gives 0.186 eV/atom. The value obtained for the volume is 453.3 Å³ per cell.

=====

# Te2POs

Crystalline Te2POs at its relaxed geometry (PBE, Alexandria).

Unit cell a=7.120 b=7.120 c=7.120 alpha=31.15 beta=31.15 gamma=31.15
Fractional coordinates of all 4 atoms:
Te1 0.243 0.243 0.243
Te2 0.757 0.757 0.757
P1 0.000 0.000 0.000
Os1 0.500 0.500 0.500

## Properties
As for the energy above the lowest structure with this stoichiometry: 463.7 meV per atom. The value obtained for the volume is 85.7 Å³ per cell.

=====

# Li2MnCd

Crystalline Li2MnCd at its relaxed geometry (PBE, Alexandria).

Unit cell a=4.599 b=4.599 c=4.599 alpha=60.00 beta=60.00 gamma=60.00
Site moments in Bohr magnetons follow the coordinates.
Fractional coordinates of all 4 atoms:
Li1 0.000 0.000 0.000  -0.02
Li2 0.250 0.250 0.250  -0.05
Cd1 0.500 0.500 0.500  -0.06
Mn1 0.750 0.750 0.750  3.86

## Properties
For the formation energy, the calculation gives 0.096 eV/atom. The value obtained for the volume is 68.8 Å³ per cell.